# SeI2Cl, optimized geometry, DFT PBE-GGA
# Calculated total energy: -1.602 eV per atom
# Formation energy (no corrections): 0.506 eV per atom
data_SeI2Cl
_cell_length_a 7.556
_cell_length_b 7.556
_cell_length_c 7.556
_cell_angle_alpha 90.00
_cell_angle_beta 90.00
_cell_angle_gamma 90.00
_symmetry_space_group_name_H-M 'F m -3 m'
_symmetry_Int_Tables_number 225
_symmetry_space_group_name_Hall '-F 4 2 3'
loop_
_atom_site_label
_atom_site_type_symbol
_atom_site_fract_x
_atom_site_fract_y
_atom_site_fract_z
Se1 Se 0.000 0.000 0.000
I1 I 0.250 0.250 0.250
Cl1 Cl 0.000 0.000 0.500

=====

# Y3HPb, optimized geometry, DFT PBE-GGA
# Calculated total energy: -5.637 eV per atom
data_Y3HPb
_cell_length_a 13.744
_cell_length_b 10.488
_cell_length_c 7.552
_cell_angle_alpha 90.00
_cell_angle_beta 108.28
_cell_angle_gamma 90.00
_symmetry_space_group_name_H-M 'C 1 2/c 1'
_symmetry_Int_Tables_number 15
loop_
_symmetry_equiv_pos_as_xyz
'x,y,z'
'-x,-y,-z'
'-x,y,-z+1/2'
'x,-y,z+1/2'
'x+1/2,y+1/2,z'
'-x+1/2,-y+1/2,-z'
'-x+1/2,y+1/2,-z+1/2'
'x+1/2,-y+1/2,z+1/2'
loop_
_atom_site_label
_atom_site_type_symbol
_atom_site_fract_x
_atom_site_fract_y
_atom_site_fract_z
Y1 Y 0.131 0.087 0.159
Y2 Y 0.142 0.428 0.998
Y3 Y 0.163 0.240 0.605
H1 H 0.195 0.429 0.742
Pb1 Pb 0.000 0.137 0.750
Pb2 Pb 0.000 0.342 0.250

=====

# AuI3F, optimized geometry, DFT PBE-GGA
# Calculated total energy: -2.219 eV per atom
# Formation energy (no corrections): -0.259 eV per atom
data_AuI3F
_cell_length_a 7.536
_cell_length_b 3.842
_cell_length_c 13.106
_cell_angle_alpha 90.00
_cell_angle_beta 93.72
_cell_angle_gamma 90.00
_symmetry_space_group_name_H-M 'P 1 21/m 1'
_symmetry_Int_Tables_number 11
loop_
_symmetry_equiv_pos_as_xyz
'x,y,z'
'-x,-y,-z'
'-x,y+1/2,-z'
'x,-y+1/2,z'
loop_
_atom_site_label
_atom_site_type_symbol
_atom_site_fract_x
_atom_site_fract_y
_atom_site_fract_z
Au1 Au 0.184 0.250 0.168
I1 I 0.063 0.250 0.830
I2 I 0.332 0.250 0.500
I3 I 0.430 0.750 0.166
F1 F 0.318 0.750 0.833

=====

# HfCrBi3, optimized geometry, DFT PBE-GGA
# Calculated total energy: -5.504 eV per atom
# Energy of formation from the pure elements: 0.740 eV per atom
data_HfCrBi3
_cell_length_a 5.619
_cell_length_b 5.619
_cell_length_c 5.619
_cell_angle_alpha 90.00
_cell_angle_beta 90.00
_cell_angle_gamma 90.00
_symmetry_space_group_name_H-M 'P m -3 m'
_symmetry_Int_Tables_number 221
_symmetry_space_group_name_Hall '-P 4 2 3'
loop_
_atom_site_label
_atom_site_type_symbol
_atom_site_fract_x
_atom_site_fract_y
_atom_site_fract_z
Hf1 Hf 0.000 0.000 0.000
Cr1 Cr 0.500 0.500 0.500
Bi1 Bi 0.000 0.000 0.500

=====

# ThAgAu2, optimized geometry, DFT PBE-GGA
# Calculated total energy: -4.721 eV per atom
# Energy of formation from the pure elements: -0.515 eV per atom
data_ThAgAu2
_cell_length_a 7.084
_cell_length_b 7.084
_cell_length_c 7.084
_cell_angle_alpha 90.00
_cell_angle_beta 90.00
_cell_angle_gamma 90.00
_symmetry_space_group_name_H-M 'F m -3 m'
_symmetry_Int_Tables_number 225
_symmetry_space_group_name_Hall '-F 4 2 3'
loop_
_atom_site_label
_atom_site_type_symbol
_atom_site_fract_x
_atom_site_fract_y
_atom_site_fract_z
Th1 Th 0.000 0.000 0.000
Ag1 Ag 0.000 0.000 0.500
Au1 Au 0.250 0.250 0.250

=====

# PaP2Pd5, optimized geometry, DFT PBE-GGA
# Calculated total energy: -6.390 eV per atom
# Energy of formation from the pure elements: -0.605 eV per atom
data_PaP2Pd5
_cell_length_a 4.048
_cell_length_b 7.108
_cell_length_c 9.183
_cell_angle_alpha 90.00
_cell_angle_beta 90.00
_cell_angle_gamma 90.00
_symmetry_space_group_name_H-M 'I m m m'
_symmetry_Int_Tables_number 71
_symmetry_space_group_name_Hall '-I 2 2'
loop_
_atom_site_label
_atom_site_type_symbol
_atom_site_fract_x
_atom_site_fract_y
_atom_site_fract_z
Pa1 Pa 0.000 0.000 0.000
P1 P 0.000 0.500 0.258
Pd1 Pd 0.000 0.198 0.348
Pd2 Pd 0.000 0.500 0.000

=====

- Which of these has the highest calculated total energy?
  SeI2Cl

=====

- The highest calculated total energy belongs to which entry?
  SeI2Cl